Entry 1:
! ScAl2Pb, relaxed, DFT PBE-GGA; values from VASP
&SYSTEM
  ibrav = 0, nat = 4, ntyp = 3
/
ATOMIC_SPECIES
Sc 44.96 Sc.upf
Al 26.98 Al.upf
Pb 207.20 Pb.upf
CELL_PARAMETERS angstrom
3.2616 0.0000 0.0000
0.0000 3.2616 0.0000
0.0000 0.0000 8.4309
ATOMIC_POSITIONS angstrom
Sc 0.0000 0.0000 0.0000
Al 1.6308 1.6308 1.8615
Al 1.6308 1.6308 6.5694
Pb 0.0000 0.0000 4.2155
! - symmetry = P4/mmm (123)
! - ΔE_f (meV per atom) = -27

---

Entry 2:
! SmHo2NbN4, relaxed, DFT PBE-GGA; values from VASP
&SYSTEM
  ibrav = 0, nat = 16, ntyp = 4
/
ATOMIC_SPECIES
Sm 150.36 Sm.upf
Ho 164.93 Ho.upf
Nb 92.91 Nb.upf
N 14.01 N.upf
CELL_PARAMETERS angstrom
1.6946 -5.9303 0.0000
1.6946 5.9303 0.0000
0.0000 0.0000 12.0779
ATOMIC_POSITIONS angstrom
Sm 1.6946 4.6831 9.0584
Sm 1.6946 -4.6831 3.0195
Ho 1.6946 1.5395 6.4501
Ho 1.6946 1.5395 11.6667
Ho 1.6946 -1.5395 0.4112
Ho 1.6946 -1.5395 5.6277
Nb 1.6946 4.0757 3.0195
Nb 1.6946 -4.0757 9.0584
N 0.0000 0.0000 0.0000
N 0.0000 0.0000 6.0389
N 1.6946 2.8508 1.4725
N 1.6946 2.8508 4.5664
N 1.6946 0.5424 9.0584
N 1.6946 -0.5424 3.0195
N 1.6946 -2.8508 7.5114
N 1.6946 -2.8508 10.6053
! - symmetry = Cmcm (63)
! - formation energy from raw total energies (meV per atom) = -1271